Crystalline SmYZnCr at its relaxed geometry, computed with PBE.

## Properties
As for the symmetry: No. 216.

a b c (Å): 5.1073 5.1073 5.1073
angles (deg): 60.00 60.00 60.00
With the nearest neighbours (Å) after each atom.
Atoms (fractional coordinates):
Y: 0.2500 0.2500 0.2500  4 Cr 3.13, 4 Zn 3.13
Cr: 0.5000 0.5000 0.5000  4 Y 3.13, 4 Sm 3.13
Zn: 0.0000 0.0000 0.0000  4 Sm 3.13, 4 Y 3.13
Sm: 0.7500 0.7500 0.7500  4 Zn 3.13, 4 Cr 3.13


Crystalline Cr4Sn at its relaxed geometry, computed with PBE.

## Properties
As for the symmetry: No. 221.

a b c (Å): 5.1529 5.1529 5.1529
angles (deg): 90.00 90.00 90.00
With the nearest neighbours (Å) after each atom.
Atoms (fractional coordinates):
Cr: 0.0000 0.0000 0.0000  12 Cr 3.64
Cr: 0.5000 0.0000 0.5000  2 Sn 2.58
Cr: 0.0000 0.5000 0.5000  2 Sn 2.58
Cr: 0.5000 0.5000 0.0000  2 Sn 2.58
Sn: 0.5000 0.5000 0.5000  6 Cr 2.58


Crystalline CrSn5 at its relaxed geometry, computed with PBE.

## Properties
As for the symmetry: No. 65.

a b c (Å): 4.6893 4.4689 7.5489
angles (deg): 107.22 90.00 90.00
With the nearest neighbours (Å) after each atom.
Atoms (fractional coordinates):
Cr: 0.0000 0.0000 0.0000  12 Sn 3.13-3.30
Sn: 0.5000 0.8394 0.6787  10 Sn 3.22-3.58, 2 Cr 3.30
Sn: 0.0000 0.6520 0.3041  2 Cr 3.13, 6 Sn 3.21-3.24
Sn: 0.5000 0.5000 0.0000  8 Sn 3.21-3.22, 4 Cr 3.24
Sn: 0.0000 0.3480 0.6959  2 Cr 3.13, 6 Sn 3.21-3.24
Sn: 0.5000 0.1606 0.3213  10 Sn 3.22-3.58, 2 Cr 3.30


Respective energy of formation from the pure elements values: 0.0262; 1.7076; 0.2112 eV per atom.
Respective total DFT energy (no corrections) values: -5.49; -6.79; -4.73 eV/atom.